## one
Here is crystalline CrPdNF2 at its relaxed geometry from the Alexandria database. Energies are from GGA+U.

Unit cell a=4.494 b=4.494 c=3.688 alpha=90.00 beta=90.00 gamma=90.00
Sites, in units of the cell vectors:
Cr 0.000 0.000 0.000
Pd 0.500 0.500 0.500
N 0.500 0.500 0.000
F 0.000 0.500 0.500
F 0.500 0.000 0.500

Properties
- volume (A^3/atom) = 14.894
- total magnetization (μB per atom) = 0.96
- space-group type = P4/mmm
- ρ (g cm⁻³) = 4.7
- crystal system = tetragonal
- DOS at the Fermi energy (states/eV per cell) = 2.4



## two
Here is crystalline CrPdNF2 at its relaxed geometry from the Alexandria database. Energies are from GGA+U.

Unit cell a=3.853 b=3.853 c=4.078 alpha=90.00 beta=90.00 gamma=90.00
Sites, in units of the cell vectors:
Cr 0.000 0.000 0.000
Pd 0.500 0.500 0.500
N 0.000 0.000 0.500
F 0.000 0.500 0.000
F 0.500 0.000 0.000

Properties
- volume (A^3/atom) = 12.107
- total magnetization (μB per atom) = 0.38
- space-group type = P4/mmm
- ρ (g cm⁻³) = 5.8
- crystal system = tetragonal
- DOS at the Fermi energy (states/eV per cell) = 2.2



Relative energies, meV/atom: one 402; two 0.



## one
Here is crystalline CrPtNF2 at its relaxed geometry from the Alexandria database. Energies are from GGA+U.

Unit cell a=3.772 b=3.772 c=4.309 alpha=90.00 beta=90.00 gamma=90.00
Sites, in units of the cell vectors:
Cr 0.000 0.000 0.000
Pt 0.500 0.500 0.500
N 0.000 0.000 0.500
F 0.000 0.500 0.000
F 0.500 0.000 0.000

Properties
- volume (A^3/atom) = 12.258
- total magnetization (μB per atom) = 0.42
- space-group type = P4/mmm
- ρ (g cm⁻³) = 8.1
- crystal system = tetragonal
- DOS at the Fermi energy (states/eV per cell) = 3.4



## two
Here is crystalline CrPtNF2 at its relaxed geometry from the Alexandria database. Energies are from GGA+U.

Unit cell a=4.563 b=4.563 c=3.684 alpha=90.00 beta=90.00 gamma=90.00
Sites, in units of the cell vectors:
Cr 0.000 0.000 0.000
Pt 0.500 0.500 0.500
N 0.500 0.500 0.000
F 0.000 0.500 0.500
F 0.500 0.000 0.500

Properties
- volume (A^3/atom) = 15.343
- total magnetization (μB per atom) = 0.97
- space-group type = P4/mmm
- ρ (g cm⁻³) = 6.5
- crystal system = tetragonal
- DOS at the Fermi energy (states/eV per cell) = 2.3



Relative energies, meV/atom: one 0; two 133.



## one
Here is crystalline CrReN2F at its relaxed geometry from the Alexandria database. Energies are from GGA+U.

Unit cell a=3.965 b=3.965 c=3.664 alpha=90.00 beta=90.00 gamma=90.00
Sites, in units of the cell vectors:
Cr 0.000 0.000 0.000
Re 0.500 0.500 0.500
N 0.000 0.500 0.000
N 0.500 0.000 0.000
F 0.000 0.000 0.500

Properties
- volume (A^3/atom) = 11.523
- total magnetization (μB per atom) = 1.18
- space-group type = P4/mmm
- ρ (g cm⁻³) = 8.2
- crystal system = tetragonal
- DOS at the Fermi energy (states/eV per cell) = 1.5



## two
Here is crystalline CrReN2F at its relaxed geometry from the Alexandria database. Energies are from GGA+U.

Unit cell a=3.894 b=3.894 c=4.150 alpha=90.00 beta=90.00 gamma=90.00
Sites, in units of the cell vectors:
Cr 0.000 0.000 0.000
Re 0.500 0.500 0.500
N 0.000 0.500 0.500
N 0.500 0.000 0.500
F 0.500 0.500 0.000

Properties
- volume (A^3/atom) = 12.583
- total magnetization (μB per atom) = 0.86
- space-group type = P4/mmm
- ρ (g cm⁻³) = 7.5
- crystal system = tetragonal
- DOS at the Fermi energy (states/eV per cell) = 2.1



Relative energies, meV/atom: one 805; two 0.



## one
Here is crystalline CrRhNF2 at its relaxed geometry from the Alexandria database. Energies are from GGA+U.

Unit cell a=3.789 b=3.789 c=4.231 alpha=90.00 beta=90.00 gamma=90.00
Sites, in units of the cell vectors:
Cr 0.000 0.000 0.000
Rh 0.500 0.500 0.500
N 0.000 0.000 0.500
F 0.000 0.500 0.000
F 0.500 0.000 0.000

Properties
- volume (A^3/atom) = 12.150
- total magnetization (μB per atom) = 0.20
- space-group type = P4/mmm
- ρ (g cm⁻³) = 5.7
- crystal system = tetragonal
- DOS at the Fermi energy (states/eV per cell) = 3.5



## two
Here is crystalline CrRhNF2 at its relaxed geometry from the Alexandria database. Energies are from GGA+U.

Unit cell a=4.402 b=4.402 c=3.669 alpha=90.00 beta=90.00 gamma=90.00
Sites, in units of the cell vectors:
Cr 0.000 0.000 0.000
Rh 0.500 0.500 0.500
N 0.500 0.500 0.000
F 0.000 0.500 0.500
F 0.500 0.000 0.500

Properties
- volume (A^3/atom) = 14.219
- total magnetization (μB per atom) = 0.95
- space-group type = P4/mmm
- ρ (g cm⁻³) = 4.8
- crystal system = tetragonal
- DOS at the Fermi energy (states/eV per cell) = 1.9



Relative energies, meV/atom: one 13; two 0.



## one
Here is crystalline CrSbNF2 at its relaxed geometry from the Alexandria database. Energies are from GGA+U.

Unit cell a=3.911 b=3.911 c=4.417 alpha=90.00 beta=90.00 gamma=90.00
Sites, in units of the cell vectors:
Cr 0.000 0.000 0.000
Sb 0.500 0.500 0.500
N 0.000 0.000 0.500
F 0.000 0.500 0.000
F 0.500 0.000 0.000

Properties
- volume (A^3/atom) = 13.514
- total magnetization (μB per atom) = 0.66
- space-group type = P4/mmm
- ρ (g cm⁻³) = 5.5
- crystal system = tetragonal
- DOS at the Fermi energy (states/eV per cell) = 1.9



## two
Here is crystalline CrSbNF2 at its relaxed geometry from the Alexandria database. Energies are from GGA+U.

Unit cell a=4.472 b=4.472 c=4.070 alpha=90.00 beta=90.00 gamma=90.00
Sites, in units of the cell vectors:
Cr 0.000 0.000 0.000
Sb 0.500 0.500 0.500
N 0.500 0.500 0.000
F 0.000 0.500 0.500
F 0.500 0.000 0.500

Properties
- volume (A^3/atom) = 16.279
- total magnetization (μB per atom) = 1.00
- space-group type = P4/mmm
- ρ (g cm⁻³) = 4.6
- crystal system = tetragonal
- DOS at the Fermi energy (states/eV per cell) = 0.4



Relative energies, meV/atom: one 0; two 273.



## one
Here is crystalline ScCrNF2 at its relaxed geometry from the Alexandria database. Energies are from GGA+U.

Unit cell a=3.869 b=3.869 c=4.181 alpha=90.00 beta=90.00 gamma=90.00
Sites, in units of the cell vectors:
Sc 0.000 0.000 0.000
Cr 0.500 0.500 0.500
N 0.500 0.500 0.000
F 0.000 0.500 0.500
F 0.500 0.000 0.500

Properties
- volume (A^3/atom) = 12.520
- total magnetization (μB per atom) = 0.80
- space-group type = P4/mmm
- ρ (g cm⁻³) = 4.0
- crystal system = tetragonal
- DOS at the Fermi energy (states/eV per cell) = 2.4



## two
Here is crystalline ScCrNF2 at its relaxed geometry from the Alexandria database. Energies are from GGA+U.

Unit cell a=3.973 b=3.973 c=4.387 alpha=90.00 beta=90.00 gamma=90.00
Sites, in units of the cell vectors:
Sc 0.000 0.000 0.000
Cr 0.500 0.500 0.500
N 0.000 0.000 0.500
F 0.000 0.500 0.000
F 0.500 0.000 0.000

Properties
- volume (A^3/atom) = 13.851
- total magnetization (μB per atom) = 0.80
- space-group type = P4/mmm
- ρ (g cm⁻³) = 3.6
- crystal system = tetragonal
- DOS at the Fermi energy (states/eV per cell) = 1.1



Relative energies, meV/atom: one 329; two 0.



## one
Here is crystalline CrSiNF2 at its relaxed geometry from the Alexandria database. Energies are from GGA+U.

Unit cell a=4.117 b=4.117 c=3.299 alpha=90.00 beta=90.00 gamma=90.00
Sites, in units of the cell vectors:
Cr 0.000 0.000 0.000
Si 0.500 0.500 0.500
N 0.500 0.500 0.000
F 0.000 0.500 0.500
F 0.500 0.000 0.500

Properties
- volume (A^3/atom) = 11.183
- total magnetization (μB per atom) = 1.00
- space-group type = P4/mmm
- ρ (g cm⁻³) = 3.9
- crystal system = tetragonal
- DOS at the Fermi energy (states/eV per cell) = 1.0



## two
Here is crystalline CrSiNF2 at its relaxed geometry from the Alexandria database. Energies are from GGA+U.

Unit cell a=3.859 b=3.859 c=4.153 alpha=90.00 beta=90.00 gamma=90.00
Sites, in units of the cell vectors:
Cr 0.000 0.000 0.000
Si 0.500 0.500 0.500
N 0.000 0.000 0.500
F 0.000 0.500 0.000
F 0.500 0.000 0.000

Properties
- volume (A^3/atom) = 12.366
- total magnetization (μB per atom) = 0.59
- space-group type = P4/mmm
- ρ (g cm⁻³) = 3.5
- crystal system = tetragonal
- DOS at the Fermi energy (states/eV per cell) = 1.2



Relative energies, meV/atom: one 0; two 454.



## one
Here is crystalline CrSnNF2 at its relaxed geometry from the Alexandria database. Energies are from GGA+U.

Unit cell a=4.345 b=4.345 c=3.979 alpha=90.00 beta=90.00 gamma=90.00
Sites, in units of the cell vectors:
Cr 0.000 0.000 0.000
Sn 0.500 0.500 0.500
N 0.500 0.500 0.000
F 0.000 0.500 0.500
F 0.500 0.000 0.500

Properties
- volume (A^3/atom) = 15.020
- total magnetization (μB per atom) = 0.97
- space-group type = P4/mmm
- ρ (g cm⁻³) = 4.9
- crystal system = tetragonal
- DOS at the Fermi energy (states/eV per cell) = 1.3



## two
Here is crystalline CrSnNF2 at its relaxed geometry from the Alexandria database. Energies are from GGA+U.

Unit cell a=3.991 b=3.991 c=4.196 alpha=90.00 beta=90.00 gamma=90.00
Sites, in units of the cell vectors:
Cr 0.000 0.000 0.000
Sn 0.500 0.500 0.500
N 0.000 0.000 0.500
F 0.000 0.500 0.000
F 0.500 0.000 0.000

Properties
- volume (A^3/atom) = 13.369
- total magnetization (μB per atom) = 0.60
- space-group type = P4/mmm
- ρ (g cm⁻³) = 5.5
- crystal system = tetragonal
- DOS at the Fermi energy (states/eV per cell) = 1.6



Relative energies, meV/atom: one 313; two 0.



## one
Here is crystalline SrCrN2F at its relaxed geometry from the Alexandria database. Energies are from GGA+U.

Unit cell a=3.888 b=3.888 c=4.134 alpha=90.00 beta=90.00 gamma=90.00
Sites, in units of the cell vectors:
Sr 0.000 0.000 0.000
Cr 0.500 0.500 0.500
N 0.000 0.500 0.500
N 0.500 0.000 0.500
F 0.500 0.500 0.000

Properties
- volume (A^3/atom) = 12.501
- total magnetization (μB per atom) = 0.27
- space-group type = P4/mmm
- ρ (g cm⁻³) = 5.0
- crystal system = tetragonal
- DOS at the Fermi energy (states/eV per cell) = 2.4



## two
Here is crystalline SrCrN2F at its relaxed geometry from the Alexandria database. Energies are from GGA+U.

Unit cell a=4.961 b=4.961 c=4.524 alpha=90.00 beta=90.00 gamma=90.00
Sites, in units of the cell vectors:
Sr 0.000 0.000 0.000
Cr 0.500 0.500 0.500
N 0.000 0.500 0.000
N 0.500 0.000 0.000
F 0.000 0.000 0.500

Properties
- volume (A^3/atom) = 22.268
- total magnetization (μB per atom) = 0.20
- space-group type = P4/mmm
- ρ (g cm⁻³) = 2.8
- crystal system = tetragonal
- DOS at the Fermi energy (states/eV per cell) = 2.0



Relative energies, meV/atom: one 0; two 1416.



## one
Here is crystalline CrTeNF2 at its relaxed geometry from the Alexandria database. Energies are from GGA+U.

Unit cell a=3.817 b=3.817 c=4.855 alpha=90.00 beta=90.00 gamma=90.00
Sites, in units of the cell vectors:
Cr 0.000 0.000 0.000
Te 0.500 0.500 0.500
N 0.000 0.000 0.500
F 0.000 0.500 0.000
F 0.500 0.000 0.000

Properties
- volume (A^3/atom) = 14.147
- total magnetization (μB per atom) = 0.66
- space-group type = P4/mmm
- ρ (g cm⁻³) = 5.4
- crystal system = tetragonal
- DOS at the Fermi energy (states/eV per cell) = 2.4



## two
Here is crystalline CrTeNF2 at its relaxed geometry from the Alexandria database. Energies are from GGA+U.

Unit cell a=4.598 b=4.598 c=4.108 alpha=90.00 beta=90.00 gamma=90.00
Sites, in units of the cell vectors:
Cr 0.000 0.000 0.000
Te 0.500 0.500 0.500
N 0.500 0.500 0.000
F 0.000 0.500 0.500
F 0.500 0.000 0.500

Properties
- volume (A^3/atom) = 17.371
- total magnetization (μB per atom) = 0.99
- space-group type = P4/mmm
- ρ (g cm⁻³) = 4.4
- crystal system = tetragonal
- DOS at the Fermi energy (states/eV per cell) = 0.7



Relative energies, meV/atom: one 0; two 448.



## one
Here is crystalline VCrNF2 at its relaxed geometry from the Alexandria database. Energies are from GGA+U.

Unit cell a=3.833 b=3.833 c=4.153 alpha=90.00 beta=90.00 gamma=90.00
Sites, in units of the cell vectors:
V 0.000 0.000 0.000
Cr 0.500 0.500 0.500
N 0.500 0.500 0.000
F 0.000 0.500 0.500
F 0.500 0.000 0.500

Properties
- volume (A^3/atom) = 12.200
- total magnetization (μB per atom) = 1.20
- space-group type = P4/mmm
- ρ (g cm⁻³) = 4.2
- crystal system = tetragonal
- DOS at the Fermi energy (states/eV per cell) = 5.9



## two
Here is crystalline VCrNF2 at its relaxed geometry from the Alexandria database. Energies are from GGA+U.

Unit cell a=3.710 b=3.710 c=6.190 alpha=90.00 beta=90.00 gamma=90.00
Sites, in units of the cell vectors:
V 0.000 0.000 0.000
Cr 0.000 0.000 0.500
N 0.500 0.500 0.500
F 0.000 0.500 0.000
F 0.500 0.000 0.000

Properties
- volume (A^3/atom) = 17.043
- total magnetization (μB per atom) = 0.84
- space-group type = P4/mmm
- ρ (g cm⁻³) = 3.0
- crystal system = tetragonal
- DOS at the Fermi energy (states/eV per cell) = 2.2



Relative energies, meV/atom: one 0; two 343.



## one
Here is crystalline CrWN2F at its relaxed geometry from the Alexandria database. Energies are from GGA+U.

Unit cell a=3.967 b=3.967 c=3.667 alpha=90.00 beta=90.00 gamma=90.00
Sites, in units of the cell vectors:
Cr 0.000 0.000 0.000
W 0.500 0.500 0.500
N 0.000 0.500 0.000
N 0.500 0.000 0.000
F 0.000 0.000 0.500

Properties
- volume (A^3/atom) = 11.539
- total magnetization (μB per atom) = 1.00
- space-group type = P4/mmm
- ρ (g cm⁻³) = 8.1
- crystal system = tetragonal
- DOS at the Fermi energy (states/eV per cell) = 1.1



## two
Here is crystalline CrWN2F at its relaxed geometry from the Alexandria database. Energies are from GGA+U.

Unit cell a=4.027 b=4.027 c=4.122 alpha=90.00 beta=90.00 gamma=90.00
Sites, in units of the cell vectors:
Cr 0.000 0.000 0.000
W 0.500 0.500 0.500
N 0.000 0.500 0.500
N 0.500 0.000 0.500
F 0.500 0.500 0.000

Properties
- volume (A^3/atom) = 13.372
- total magnetization (μB per atom) = 1.00
- space-group type = P4/mmm
- ρ (g cm⁻³) = 7.0
- crystal system = tetragonal
- DOS at the Fermi energy (states/eV per cell) = 1.6



Relative energies, meV/atom: one 412; two 0.